First-principles (PBE) data for a relaxed structure of Ba6Rh2ICl3, as listed in the Alexandria database.

a = 4.547 Å, b = 9.889 Å, c = 10.439 Å
α = 102.53°, β = 102.58°, γ = 90.00°
Fractional positions:
Rh: 0.835 0.665 0.670
Rh: 0.165 0.335 0.330
Ba: 0.680 0.127 0.361
Ba: 0.675 0.569 0.350
Ba: 0.325 0.431 0.650
Ba: 0.320 0.873 0.639
Ba: 0.021 0.278 0.042
Ba: 0.979 0.722 0.958
Cl: 0.844 0.161 0.688
Cl: 0.500 0.500 0.000
Cl: 0.156 0.839 0.312
I: 0.500 0.000 0.000

Formation energy from raw total energies (meV/atom): -1238
Size of the total moment (μB per cell): 0.00
Density of states at the Fermi level (states/eV per cell): 7.9

***

First-principles (PBE) data for a relaxed structure of HfTc3As, as listed in the Alexandria database.

a = 4.772 Å, b = 4.772 Å, c = 4.772 Å
α = 90.00°, β = 90.00°, γ = 90.00°
Last column: magnetic moment on the atom in μB.
Fractional positions:
Hf: 0.000 0.000 0.000  -0.09
Tc: 0.500 0.000 0.000  0.84
Tc: 0.000 0.500 0.000  0.79
Tc: 0.000 0.000 0.500  0.85
As: 0.500 0.500 0.500  -0.09

Polymorph energy (0 for the lowest one) (meV/atom): 1369
Size of the total moment (μB per cell): 2.47
Formation energy (eV/atom): 1.91
Density of states at the Fermi level (states/eV per cell): 5.3

***

First-principles (PBE) data for a relaxed structure of Zr2CoHRu, as listed in the Alexandria database.

a = 4.558 Å, b = 4.558 Å, c = 3.364 Å
α = 90.00°, β = 90.00°, γ = 90.00°
Last column: magnetic moment on the atom in μB.
Fractional positions:
Co: 0.000 0.000 0.500  0.52
Zr: 0.000 0.500 0.000  -0.01
Zr: 0.500 0.000 0.000  -0.01
H: 0.000 0.000 0.000  0.00
Ru: 0.500 0.500 0.500  0.08

Polymorph energy (0 for the lowest one) (meV/atom): 0
Size of the total moment (μB per cell): 0.55
Density of states at the Fermi level (states/eV per cell): 3.2

***

First-principles (PBE) data for a relaxed structure of CsAcTeF2, as listed in the Alexandria database.

a = 5.025 Å, b = 5.025 Å, c = 6.600 Å
α = 90.00°, β = 90.00°, γ = 90.00°
Fractional positions:
Cs: 0.500 0.500 0.608
Ac: 0.000 0.000 0.990
F: 0.000 0.500 0.962
F: 0.500 0.000 0.962
Te: 0.000 0.000 0.478

Formation energy from raw total energies (meV/atom): -2736
Size of the total moment (μB per cell): 0.00
Density of states at the Fermi level (states/eV per cell): 0.0

***

First-principles (PBE) data for a relaxed structure of RbSrMn3, as listed in the Alexandria database.

a = 5.873 Å, b = 5.873 Å, c = 5.873 Å
α = 90.00°, β = 90.00°, γ = 90.00°
Last column: magnetic moment on the atom in μB.
Fractional positions:
Rb: 0.500 0.500 0.500  -0.01
Mn: 0.000 0.500 0.000  4.06
Mn: 0.000 0.000 0.500  3.79
Mn: 0.500 0.000 0.000  4.30
Sr: 0.000 0.000 0.000  -0.17

Polymorph energy (0 for the lowest one) (meV/atom): 0
Size of the total moment (μB per cell): 12.13
Formation energy (eV/atom): 1.58
Density of states at the Fermi level (states/eV per cell): 5.9

***

First-principles (PBE) data for a relaxed structure of CuPW3, as listed in the Alexandria database.

a = 4.436 Å, b = 4.436 Å, c = 4.436 Å
α = 90.00°, β = 90.00°, γ = 90.00°
Fractional positions:
W: 0.000 0.500 0.000
W: 0.500 0.000 0.000
W: 0.000 0.000 0.500
P: 0.000 0.000 0.000
Cu: 0.500 0.500 0.500

Polymorph energy (0 for the lowest one) (meV/atom): 0
Size of the total moment (μB per cell): 0.00
Formation energy (eV/atom): 1.14
Density of states at the Fermi level (states/eV per cell): 5.5

***

First-principles (PBE) data for a relaxed structure of CeDy5YTm2, as listed in the Alexandria database.

a = 5.665 Å, b = 11.101 Å, c = 9.504 Å
α = 90.00°, β = 90.00°, γ = 104.78°
Last column: magnetic moment on the atom in μB.
Fractional positions:
Dy: 0.267 0.534 0.331  0.03
Dy: 0.530 0.059 0.248  -0.02
Dy: 0.733 0.466 0.831  0.03
Dy: 0.605 0.211 0.544  -0.01
Dy: 0.395 0.789 0.044  -0.01
Dy: 0.306 0.612 0.714  0.03
Dy: 0.694 0.388 0.214  0.03
Dy: 0.013 0.026 0.013  -0.01
Dy: 0.987 0.974 0.513  -0.01
Dy: 0.470 0.941 0.748  -0.02
Tm: 0.866 0.731 0.206  0.02
Tm: 0.134 0.269 0.706  0.02
Tm: 0.886 0.773 0.822  0.01
Tm: 0.114 0.227 0.322  0.01
Y: 0.597 0.194 0.926  -0.02
Y: 0.403 0.806 0.426  -0.02
Ce: 0.808 0.617 0.521  0.56
Ce: 0.192 0.383 0.021  0.56

Size of the total moment (μB per cell): 1.33
Formation energy (eV/atom): 0.18
Density of states at the Fermi level (states/eV per cell): 30.7

***

First-principles (PBE) data for a relaxed structure of BaMgCr, as listed in the Alexandria database.

a = 6.742 Å, b = 6.742 Å, c = 6.742 Å
α = 146.19°, β = 146.13°, γ = 48.61°
Last column: magnetic moment on the atom in μB.
Fractional positions:
Mg: 0.294 0.294 0.000  -0.02
Cr: 0.701 0.701 0.000  3.92
Ba: 0.005 0.005 0.000  0.01

Polymorph energy (0 for the lowest one) (meV/atom): 0
Size of the total moment (μB per cell): 4.52
Formation energy (eV/atom): 0.51
Density of states at the Fermi level (states/eV per cell): 2.4

***

First-principles (PBE) data for a relaxed structure of MnInW2, as listed in the Alexandria database.

a = 2.864 Å, b = 2.864 Å, c = 7.799 Å
α = 90.00°, β = 90.00°, γ = 90.00°
Fractional positions:
In: 0.500 0.500 0.250
Mn: 0.500 0.500 0.750
W: 0.000 0.000 0.544
W: 0.000 0.000 0.956

Size of the total moment (μB per cell): 0.00
Formation energy (eV/atom): 0.38
Density of states at the Fermi level (states/eV per cell): 3.5

***

First-principles (PBE) data for a relaxed structure of Th6Ir2RuS3, as listed in the Alexandria database.

a = 4.080 Å, b = 8.538 Å, c = 9.455 Å
α = 106.57°, β = 102.46°, γ = 90.00°
Fractional positions:
Ir: 0.833 0.666 0.666
Ir: 0.167 0.334 0.334
Th: 0.671 0.572 0.341
Th: 0.660 0.093 0.320
Th: 0.995 0.765 0.991
Th: 0.329 0.428 0.659
Th: 0.340 0.907 0.680
Th: 0.005 0.235 0.009
S: 0.167 0.833 0.334
S: 0.833 0.167 0.666
S: 0.500 0.500 0.000
Ru: 0.500 0.000 0.000

Formation energy from raw total energies (meV/atom): -1282
Size of the total moment (μB per cell): 0.00
Density of states at the Fermi level (states/eV per cell): 10.2

***

First-principles (PBE) data for a relaxed structure of PmPr12Tm7, as listed in the Alexandria database.

a = 9.467 Å, b = 9.467 Å, c = 9.467 Å
α = 107.91°, β = 107.91°, γ = 107.91°
Fractional positions:
Tm: 0.681 0.993 0.104
Tm: 0.007 0.896 0.319
Tm: 0.500 0.500 0.500
Tm: 0.896 0.319 0.007
Tm: 0.319 0.007 0.896
Tm: 0.993 0.104 0.681
Tm: 0.104 0.681 0.993
Pr: 0.672 0.377 0.220
Pr: 0.328 0.623 0.780
Pr: 0.295 0.408 0.054
Pr: 0.780 0.328 0.623
Pr: 0.946 0.705 0.592
Pr: 0.377 0.220 0.672
Pr: 0.220 0.672 0.377
Pr: 0.592 0.946 0.705
Pr: 0.054 0.295 0.408
Pr: 0.408 0.054 0.295
Pr: 0.623 0.780 0.328
Pr: 0.705 0.592 0.946
Pm: 0.000 0.000 0.000

Polymorph energy (0 for the lowest one) (meV/atom): 0
Size of the total moment (μB per cell): 0.00
Formation energy (eV/atom): 0.14
Density of states at the Fermi level (states/eV per cell): 34.5

***

First-principles (PBE) data for a relaxed structure of ZnSCl2F, as listed in the Alexandria database.

a = 5.414 Å, b = 3.637 Å, c = 5.414 Å
α = 90.00°, β = 90.00°, γ = 90.00°
Last column: magnetic moment on the atom in μB.
Fractional positions:
F: 0.000 0.000 0.000  0.08
S: 0.000 0.500 0.000  0.68
Cl: 0.500 0.000 0.000  0.12
Cl: 0.000 0.000 0.500  0.10
Zn: 0.500 0.500 0.500  -0.02

Polymorph energy (0 for the lowest one) (meV/atom): 194
Formation energy from raw total energies (meV/atom): 244
Size of the total moment (μB per cell): 1.37
Density of states at the Fermi level (states/eV per cell): 2.7

***

First-principles (PBE) data for a relaxed structure of InC3, as listed in the Alexandria database.

a = 3.834 Å, b = 3.834 Å, c = 3.834 Å
α = 109.47°, β = 109.47°, γ = 109.47°
Fractional positions:
In: 0.000 0.500 0.500
C: 0.000 0.000 0.000
C: 0.500 0.500 0.000
C: 0.500 0.000 0.500

Polymorph energy (0 for the lowest one) (meV/atom): 2022
Size of the total moment (μB per cell): 0.00
Formation energy (eV/atom): 2.92
Density of states at the Fermi level (states/eV per cell): 3.1

***

First-principles (PBE) data for a relaxed structure of NiHgBi2, as listed in the Alexandria database.

a = 3.728 Å, b = 6.683 Å, c = 8.971 Å
α = 83.11°, β = 90.00°, γ = 106.20°
Fractional positions:
Ni: 0.405 0.809 0.471
Ni: 0.595 0.191 0.529
Bi: 0.215 0.429 0.657
Bi: 0.785 0.571 0.343
Bi: 0.043 0.087 0.321
Bi: 0.957 0.913 0.679
Hg: 0.633 0.265 0.989
Hg: 0.367 0.735 0.011

Size of the total moment (μB per cell): 0.00
Formation energy (eV/atom): 0.00
Density of states at the Fermi level (states/eV per cell): 4.6

***

First-principles (PBE) data for a relaxed structure of MgNbH, as listed in the Alexandria database.

a = 3.034 Å, b = 6.539 Å, c = 4.306 Å
α = 90.00°, β = 90.00°, γ = 105.49°
Fractional positions:
Mg: 0.037 0.391 0.191
Mg: 0.217 0.126 0.692
H: 0.158 0.441 0.692
H: 0.409 0.845 0.692
Nb: 0.754 0.639 0.692
Nb: 0.539 0.879 0.192

Polymorph energy (0 for the lowest one) (meV/atom): 120
Size of the total moment (μB per cell): 0.00
Density of states at the Fermi level (states/eV per cell): 1.1

***

First-principles (PBE) data for a relaxed structure of MnNi2P, as listed in the Alexandria database.

a = 2.766 Å, b = 2.766 Å, c = 5.752 Å
α = 90.00°, β = 90.00°, γ = 90.00°
Last column: magnetic moment on the atom in μB.
Fractional positions:
P: 0.000 0.000 0.507  -0.04
Ni: 0.500 0.500 0.276  0.06
Ni: 0.000 0.000 0.995  0.55
Mn: 0.500 0.500 0.722  1.13

Size of the total moment (μB per cell): 1.66
Formation energy (eV/atom): -0.11
Density of states at the Fermi level (states/eV per cell): 4.2

***

First-principles (PBE) data for a relaxed structure of AlRe2Cl, as listed in the Alexandria database.

a = 4.322 Å, b = 5.452 Å, c = 3.099 Å
α = 74.24°, β = 88.17°, γ = 112.79°
Fractional positions:
Re: 0.500 0.000 0.500
Re: 0.000 0.000 0.000
Cl: 0.500 0.500 0.000
Al: 0.000 0.500 0.500

Polymorph energy (0 for the lowest one) (meV/atom): 784
Formation energy from raw total energies (meV/atom): 716
Size of the total moment (μB per cell): 0.00
Density of states at the Fermi level (states/eV per cell): 2.6

***

First-principles (PBE) data for a relaxed structure of YGe2C, as listed in the Alexandria database.

a = 6.555 Å, b = 6.555 Å, c = 5.725 Å
α = 55.08°, β = 55.08°, γ = 90.00°
Fractional positions:
Ge: 0.875 0.774 0.750
Ge: 0.524 0.125 0.250
Ge: 0.226 0.625 0.250
Ge: 0.375 0.476 0.750
Y: 0.750 0.250 0.500
Y: 0.000 0.000 0.000
C: 0.500 0.500 0.000
C: 0.250 0.750 0.500

Size of the total moment (μB per cell): 0.00
Formation energy (eV/atom): 0.24
Density of states at the Fermi level (states/eV per cell): 1.1

***

First-principles (PBE) data for a relaxed structure of LaCrSe2Br, as listed in the Alexandria database.

a = 5.031 Å, b = 5.031 Å, c = 4.909 Å
α = 90.00°, β = 90.00°, γ = 90.00°
Last column: magnetic moment on the atom in μB.
Fractional positions:
La: 0.500 0.500 0.500  -0.26
Se: 0.500 0.000 0.000  0.04
Se: 0.000 0.500 0.000  0.04
Cr: 0.000 0.000 0.000  -3.39
Br: 0.000 0.000 0.500  -0.01

Polymorph energy (0 for the lowest one) (meV/atom): 0
Formation energy from raw total energies (meV/atom): -963
Size of the total moment (μB per cell): 4.02
Density of states at the Fermi level (states/eV per cell): 3.4

***

First-principles (PBE) data for a relaxed structure of PrEr4Se6, as listed in the Alexandria database.

a = 4.017 Å, b = 6.946 Å, c = 20.712 Å
α = 90.00°, β = 90.00°, γ = 106.81°
Fractional positions:
Er: 0.591 0.182 0.875
Er: 0.409 0.818 0.125
Er: 0.409 0.818 0.375
Er: 0.140 0.280 0.038
Er: 0.591 0.182 0.625
Er: 0.860 0.720 0.962
Er: 0.860 0.720 0.538
Er: 0.140 0.280 0.462
Se: 0.233 0.465 0.590
Se: 0.500 0.000 0.000
Se: 0.233 0.465 0.910
Se: 0.767 0.535 0.410
Se: 0.952 0.903 0.663
Se: 0.767 0.535 0.090
Se: 0.952 0.903 0.837
Se: 0.048 0.097 0.337
Se: 0.048 0.097 0.163
Se: 0.680 0.360 0.750
Se: 0.500 0.000 0.500
Se: 0.320 0.640 0.250
Pr: 0.654 0.308 0.250
Pr: 0.346 0.692 0.750

Formation energy from raw total energies (meV/atom): -1811
Size of the total moment (μB per cell): 0.00
Density of states at the Fermi level (states/eV per cell): 5.6

***

First-principles (PBE) data for a relaxed structure of Zn2BiCl2, as listed in the Alexandria database.

a = 3.472 Å, b = 3.472 Å, c = 9.954 Å
α = 79.96°, β = 79.96°, γ = 90.00°
Fractional positions:
Bi: 0.000 0.000 0.000
Cl: 0.613 0.613 0.774
Cl: 0.387 0.387 0.226
Zn: 0.750 0.250 0.500
Zn: 0.250 0.750 0.500

Polymorph energy (0 for the lowest one) (meV/atom): 0
Formation energy from raw total energies (meV/atom): -144
Size of the total moment (μB per cell): 0.00
Density of states at the Fermi level (states/eV per cell): 1.3

***

First-principles (PBE) data for a relaxed structure of BeAlHg2, as listed in the Alexandria database.

a = 4.203 Å, b = 3.547 Å, c = 5.262 Å
α = 87.14°, β = 90.00°, γ = 90.00°
Fractional positions:
Hg: 0.000 0.952 0.986
Hg: 0.000 0.548 0.514
Al: 0.500 0.250 0.250
Be: 0.500 0.750 0.750

Polymorph energy (0 for the lowest one) (meV/atom): 204
Size of the total moment (μB per cell): 0.00
Formation energy (eV/atom): 0.43
Density of states at the Fermi level (states/eV per cell): 1.2

***

First-principles (PBE) data for a relaxed structure of CaBIr2Rh, as listed in the Alexandria database.

a = 4.200 Å, b = 4.200 Å, c = 4.240 Å
α = 90.00°, β = 90.00°, γ = 90.00°
Fractional positions:
B: 0.000 0.000 0.000
Ir: 0.000 0.500 0.000
Ir: 0.500 0.000 0.000
Rh: 0.000 0.000 0.500
Ca: 0.500 0.500 0.500

Size of the total moment (μB per cell): 0.00
Formation energy (eV/atom): -0.37
Density of states at the Fermi level (states/eV per cell): 2.2

***

First-principles (PBE) data for a relaxed structure of Rb2SmTmSe4, as listed in the Alexandria database.

a = 4.260 Å, b = 7.381 Å, c = 8.368 Å
α = 107.07°, β = 90.00°, γ = 90.00°
Fractional positions:
Se: 0.000 0.740 0.198
Se: 0.000 0.260 0.802
Se: 0.500 0.224 0.195
Se: 0.500 0.776 0.805
Tm: 0.000 0.000 0.000
Rb: 0.000 0.500 0.500
Rb: 0.500 0.000 0.500
Sm: 0.500 0.500 0.000

Formation energy from raw total energies (meV/atom): -1728
Size of the total moment (μB per cell): 0.00
Density of states at the Fermi level (states/eV per cell): 0.0

***

First-principles (PBE) data for a relaxed structure of Ba4AgRhBr2, as listed in the Alexandria database.

a = 4.601 Å, b = 8.054 Å, c = 8.779 Å
α = 107.05°, β = 90.00°, γ = 90.00°
Fractional positions:
Br: 0.000 0.500 0.500
Br: 0.500 0.000 0.500
Ba: 0.000 0.722 0.215
Ba: 0.000 0.278 0.785
Ba: 0.500 0.263 0.222
Ba: 0.500 0.737 0.778
Ag: 0.000 0.000 0.000
Rh: 0.500 0.500 0.000

Formation energy from raw total energies (meV/atom): -933
Size of the total moment (μB per cell): 0.00
Density of states at the Fermi level (states/eV per cell): 5.3